# 1
PmErZn after structural relaxation, computed with PBE.

a b c (Å): 7.034 7.034 7.034
angles (deg): 90.00 90.00 90.00
Space group F-43m (No. 216)
Unique sites:
Pm (0.000, 0.000, 0.000) x4
Er (0.000, 0.000, 0.500) x4
Zn (0.250, 0.250, 0.750) x4

Calculated values
energy above the most stable polymorph in this dataset	0.000	eV/atom

***

# 2
Pr2Er after structural relaxation, computed with PBE.

a b c (Å): 9.458 9.458 9.458
angles (deg): 90.00 90.00 90.00
Space group Fd-3m (No. 227, origin choice 2)
Unique sites:
Pr (0.000, 0.000, 0.000) x16
Er (0.125, 0.125, 0.625) x8

***

# 3
PrErPt2 after structural relaxation, computed with PBE.

a b c (Å): 5.657 4.570 7.183
angles (deg): 90.00 91.68 90.00
Space group P2_1/m (No. 11)
Unique sites:
Pr (0.142, 0.250, 0.186) x2
Er (0.361, 0.250, 0.680) x2
Pt (0.167, 0.750, 0.466) x2
Pt (0.354, 0.750, 0.947) x2

Calculated values
energy above the most stable polymorph in this dataset	0.014	eV/atom

***

# 4
PrErPt2 after structural relaxation, computed with PBE.

a b c (Å): 4.569 5.645 7.204
angles (deg): 90.00 90.00 90.00
Space group Pmc2_1 (No. 26)
Unique sites:
Pr (0.000, 0.109, 0.000) x2
Er (0.500, 0.390, 0.635) x2
Pt (0.000, 0.408, 0.364) x2
Pt (0.500, 0.102, 0.276) x2

Calculated values
energy above the most stable polymorph in this dataset	0.021	eV/atom

***

| no. | calculated total energy (eV per atom) |
| --- | --- |
| 1 | -3.50 |
| 2 | -4.44 |
| 3 | -6.56 |
| 4 | -6.56 |